DFT (GGA-PBE) results for a geometry-optimized Na2Sn structure.

SG: Immm, No. 71
Fermi-level density of states, states/eV/atom: 0.3995
DFT total energy, eV/atom: -2.3693
E_form, eV per atom: -0.1556

abc: 3.3605 5.0015 5.7717
angles: 115.66 106.93 90.00
Closest atoms and distances in Å follow each position.
Positions (direct):
1 Sn 0.0000 0.5000 0.0000  10 Na 3.36-3.39, 2 Sn 3.36
2 Na 0.6588 0.1588 0.3177  3 Na 3.13-3.36, 5 Sn 3.36-3.39
3 Na 0.3412 0.8412 0.6823  3 Na 3.13-3.36, 5 Sn 3.36-3.39

***

DFT (GGA-PBE) results for a geometry-optimized KMgSn structure.

SG: I4/mmm, No. 139
Fermi-level density of states, states/eV/atom: 0.6523
Polymorph energy (0 for the lowest one), meV per atom: 42.1
DFT total energy, eV/atom: -2.3905
E_form, eV per atom: -0.1589

abc: 4.9596 4.9596 9.0416
angles: 105.92 105.92 90.00
Closest atoms and distances in Å follow each position.
Positions (direct):
1 Mg 0.0000 0.5000 0.0000  4 Sn 2.98
2 Mg 0.5000 0.0000 0.0000  4 Sn 2.98
3 Sn 0.0996 0.0996 0.1993  4 Mg 2.98, 1 Sn 3.32
4 Sn 0.9004 0.9004 0.8007  4 Mg 2.98, 1 Sn 3.32
5 K 0.3247 0.3247 0.6495  5 Sn 3.73-3.75, 4 Mg 3.83
6 K 0.6753 0.6753 0.3505  5 Sn 3.73-3.75, 4 Mg 3.83

***

DFT (GGA-PBE) results for a geometry-optimized PaTiVRu structure.

SG: F-43m, No. 216
Fermi-level density of states, states/eV/atom: 1.4571
DFT total energy, eV/atom: -9.1415
E_form, eV per atom: -0.1951

abc: 4.5985 4.5985 4.5985
angles: 60.00 60.00 60.00
Closest atoms and distances in Å follow each position.
Positions (direct):
1 Ru 0.2500 0.2500 0.2500  4 Pa 2.82, 4 Ti 2.82
2 Ti 0.0000 0.0000 0.0000  4 Ru 2.82, 4 V 2.82
3 Pa 0.5000 0.5000 0.5000  4 Ru 2.82, 4 V 2.82
4 V 0.7500 0.7500 0.7500  4 Pa 2.82, 4 Ti 2.82

***

DFT (GGA-PBE) results for a geometry-optimized Ac7Pb4N structure.

SG: C2/m, No. 12
Fermi-level density of states, states/eV/atom: 0.6039
DFT total energy, eV/atom: -4.7769
E_form (uncorrected), eV/atom: -0.45

abc: 5.5493 10.1747 9.3105
angles: 76.48 72.66 74.18
Closest atoms and distances in Å follow each position.
Positions (direct):
1 Ac 0.9351 0.2382 0.8915  1 N 2.37
2 Ac 0.7854 0.8635 0.5657  4 Pb 3.30-3.60
3 Ac 0.3613 0.5410 0.7364  5 Pb 3.42-3.67
4 Ac 0.0649 0.7618 0.1085  1 N 2.37
5 Ac 0.2146 0.1365 0.4343  4 Pb 3.30-3.60
6 Ac 0.5000 0.0000 0.0000  2 N 2.77
7 Ac 0.6387 0.4590 0.2636  5 Pb 3.42-3.67
8 Pb 0.5778 0.2181 0.6264  8 Ac 3.42-3.67
9 Pb 0.4222 0.7819 0.3736  8 Ac 3.42-3.67
10 Pb 0.7211 0.6576 0.9002  7 Ac 3.30-3.61
11 Pb 0.2789 0.3424 0.0998  7 Ac 3.30-3.61
12 N 0.0000 0.0000 0.0000  2 Ac 2.37

***

DFT (GGA-PBE) results for a geometry-optimized Tm2CdRu structure.

SG: R-3m, No. 166
Fermi-level density of states, states/eV/atom: 1.0535
Polymorph energy (0 for the lowest one), meV per atom: 269.5
DFT total energy, eV/atom: -4.9781
E_form, eV per atom: -0.1946

abc: 3.5793 3.5793 8.9027
angles: 78.40 78.40 60.00
Closest atoms and distances in Å follow each position.
Positions (direct):
1 Ru 0.0000 0.0000 0.0000  6 Tm 2.75
2 Cd 0.5000 0.5000 0.5000  6 Tm 3.26, 6 Cd 3.58
3 Tm 0.2636 0.2636 0.2091  3 Ru 2.75
4 Tm 0.7364 0.7364 0.7909  3 Ru 2.75

***

DFT (GGA-PBE) results for a geometry-optimized HgSbTeO6 structure.

SG: P-31c, No. 163
Fermi-level density of states, states/eV/atom: 0.2145
DFT total energy, eV/atom: -5.0747
E_form (uncorrected), eV/atom: -0.93

abc: 5.4396 5.4396 10.2839
angles: 90.00 90.00 120.00
Closest atoms and distances in Å follow each position.
Positions (direct):
1 Hg 0.0000 0.0000 0.5000  6 O 2.50
2 Hg 0.0000 0.0000 0.0000  6 O 2.50
3 O 0.3731 0.3721 0.8574  1 Te 2.04, 1 Sb 2.04
4 O 0.0009 0.3731 0.1426  1 Te 2.04, 1 Sb 2.04
5 O 0.6279 0.0009 0.8574  1 Te 2.04, 1 Sb 2.04
6 O 0.9991 0.6269 0.8574  1 Te 2.04, 1 Sb 2.04
7 O 0.9991 0.3721 0.6426  1 Te 2.04, 1 Sb 2.04
8 O 0.6269 0.9991 0.3574  1 Te 2.04, 1 Sb 2.04
9 O 0.3731 0.0009 0.6426  1 Te 2.04, 1 Sb 2.04
10 O 0.3721 0.9991 0.1426  1 Te 2.04, 1 Sb 2.04
11 O 0.6279 0.6269 0.6426  1 Te 2.04, 1 Sb 2.04
12 O 0.0009 0.6279 0.3574  1 Te 2.04, 1 Sb 2.04
13 O 0.6269 0.6279 0.1426  1 Te 2.04, 1 Sb 2.04
14 O 0.3721 0.3731 0.3574  1 Te 2.04, 1 Sb 2.04
15 Te 0.6667 0.3333 0.7500  6 O 2.04
16 Te 0.3333 0.6667 0.2500  6 O 2.04
17 Sb 0.3333 0.6667 0.7500  6 O 2.04
18 Sb 0.6667 0.3333 0.2500  6 O 2.04